Rb3Ac3GaO8: relaxed, GGA-PBE.

Cell: 13.3129 7.2832 7.8679 Å, 90.00 122.29 90.00°
Space group C2/m (No. 12)
Inequivalent atoms, fractional coordinates:
Rb 0.0000 0.0000 0.0000 (multiplicity 2)
Rb 0.2500 0.2500 0.0000 (multiplicity 4)
Ac 0.0000 0.5000 0.5000 (multiplicity 2)
Ac 0.2500 0.2500 0.5000 (multiplicity 4)
Ga 0.0000 0.0000 0.5000 (multiplicity 2)
O 0.0243 0.1979 0.3525 (multiplicity 8)
O 0.2212 0.5000 0.6881 (multiplicity 4)
O 0.2312 0.5000 0.2808 (multiplicity 4)

Results
- Mass density: 5.85 g/cm3
- Formation energy (no corrections): -2.198 eV per atom
- Crystal system: monoclinic